Entry from the Alexandria database: a relaxed structure of BeI3F (GGA-PBE).

- energy above the lowest structure with this stoichiometry (eV/f.u.) = 0.00
- total magnetic moment (μB/f.u.) = 0.72
- formation energy from raw total energies (eV/f.u.) = 0.2
- space-group type = Pm-3m

a b c (Å): 5.1566 5.1566 5.1566
angles (deg): 90.00 90.00 90.00
With the nearest neighbours (Å) after each atom.
Element x y z (fractional)
I1 0.5000 0.0000 0.0000  2 Be 2.58
Be1 0.0000 0.0000 0.0000  6 I 2.58
I2 0.0000 0.0000 0.5000  2 Be 2.58
I3 0.0000 0.5000 0.0000  2 Be 2.58
F1 0.5000 0.5000 0.5000  12 I 3.65